Entry 1:
## Tb2DyCl8 (PBE)

Data for a geometry-optimized Tb2DyCl8 structure.

Geometry as CIF:
```
data_Tb2DyCl8
_cell_length_a 12.9911
_cell_length_b 7.8364
_cell_length_c 6.5288
_cell_angle_alpha 90.00
_cell_angle_beta 106.61
_cell_angle_gamma 90.00
_symmetry_space_group_name_H-M 'C 1 2/m 1'
_symmetry_Int_Tables_number 12
_symmetry_space_group_name_Hall '-C 2y'
loop_
_atom_site_label
_atom_site_fract_x
_atom_site_fract_y
_atom_site_fract_z
Tb1 0.2396 0.0000 0.0028
Dy1 0.0000 0.5000 0.5000
Cl1 0.1246 0.2592 0.7518
Cl2 0.1250 0.5000 0.2514
Cl3 0.1263 0.0000 0.2499
```

***

Entry 2:
## TlAgSe2N (PBE)

Data for a geometry-optimized TlAgSe2N structure.

Geometry as CIF:
```
data_TlAgSe2N
_cell_length_a 5.5413
_cell_length_b 5.5413
_cell_length_c 4.3101
_cell_angle_alpha 90.00
_cell_angle_beta 90.00
_cell_angle_gamma 90.00
_symmetry_space_group_name_H-M 'P 4/m m m'
_symmetry_Int_Tables_number 123
_symmetry_space_group_name_Hall '-P 4 2'
loop_
_atom_site_label
_atom_site_fract_x
_atom_site_fract_y
_atom_site_fract_z
Tl1 0.0000 0.0000 0.0000
Ag1 0.5000 0.5000 0.5000
Se1 0.0000 0.5000 0.0000
N1 0.0000 0.0000 0.5000
```

***

For each record above, in turn, the calculated formation energy (no corrections) values are -2.074, 1.229 eV per atom.
For each record above, in turn, the calculated VASP energy values are -102.90, -14.37 eV/cell.